# MgUSn PBE relaxed
data_MgUSn
_chemical_formula_sum 'Mg1 U1 Sn1'
_cell_length_a 3.1234
_cell_length_b 3.1234
_cell_length_c 8.2908
_cell_angle_alpha 90.00
_cell_angle_beta 90.00
_cell_angle_gamma 120.00
_space_group_name_H-M_alt 'P 3 m 1'
_space_group_IT_number 156
_space_group_name_Hall 'P 3 -2"'
loop_
_atom_site_label
_atom_site_type_symbol
_atom_site_fract_x
_atom_site_fract_y
_atom_site_fract_z
Mg1 Mg 0.0000 0.0000 0.0000
U1 U 0.3333 0.6667 0.6568
Sn1 Sn 0.6667 0.3333 0.3203
# * total moment: 0.7315 μB/atom
# * formation energy: 0.106 eV/atom
# * energy: -5.52 eV per atom